Version one
A geometry-optimized Ti3ZnMo structure. Source: Alexandria via LeMat-Bulk, functional PBE.

a b c (Å): 8.6750 8.6750 4.3646
angles (deg): 90.00 90.00 150.94
With the nearest neighbours (Å) after each atom.
Element x y z (fractional)
Ti: 0.0543 0.9457 0.7500  2 Zn 2.74, 2 Mo 2.75, 4 Ti 2.84-2.85
Ti: 0.2500 0.7500 0.7500  4 Mo 2.71-2.72, 4 Zn 2.71-2.72
Ti: 0.4448 0.5552 0.7500  2 Mo 2.73, 2 Zn 2.74, 4 Ti 2.85-2.86
Ti: 0.5552 0.4448 0.2500  2 Mo 2.73, 2 Zn 2.74, 4 Ti 2.85-2.86
Ti: 0.7500 0.2500 0.2500  4 Mo 2.71-2.72, 4 Zn 2.71-2.72
Ti: 0.9457 0.0543 0.2500  2 Zn 2.74, 2 Mo 2.75, 4 Ti 2.84-2.85
Zn: 0.3466 0.6534 0.2500  8 Ti 2.71-2.74
Zn: 0.6534 0.3466 0.7500  8 Ti 2.71-2.74
Mo: 0.1536 0.8464 0.2500  8 Ti 2.71-2.75
Mo: 0.8464 0.1536 0.7500  8 Ti 2.71-2.75

Properties
Density of states at the Fermi level (states/eV/atom): 0.999
Crystal system: orthorhombic
Space group: Cmcm (63)
Magnetic moment (μB per formula unit): 0.000

Version two
A geometry-optimized Ti3ZnMo structure. Source: Alexandria via LeMat-Bulk, functional PBE.

a b c (Å): 4.5755 4.5755 4.5755
angles (deg): 90.00 90.00 90.00
With the nearest neighbours (Å) after each atom.
Element x y z (fractional)
Ti: 0.0000 0.0000 0.5000  2 Zn 2.29
Ti: 0.0000 0.5000 0.0000  2 Zn 2.29
Ti: 0.5000 0.0000 0.0000  2 Zn 2.29
Zn: 0.0000 0.0000 0.0000  6 Ti 2.29
Mo: 0.5000 0.5000 0.5000  12 Ti 3.24

Properties
Density of states at the Fermi level (states/eV/atom): 1.553
Crystal system: cubic
Space group: Pm-3m (221)
Magnetic moment (μB per formula unit): 1.342

Most stable to least stable, the ends of the list are version one and version two.

Version one
A geometry-optimized TiZnMo3 structure. Source: Alexandria via LeMat-Bulk, functional PBE.

a b c (Å): 4.5565 4.5565 4.5565
angles (deg): 90.00 90.00 90.00
With the nearest neighbours (Å) after each atom.
Element x y z (fractional)
Ti: 0.0000 0.0000 0.0000  12 Mo 3.22
Zn: 0.5000 0.5000 0.5000  6 Mo 2.28
Mo: 0.0000 0.5000 0.5000  2 Zn 2.28
Mo: 0.5000 0.0000 0.5000  2 Zn 2.28
Mo: 0.5000 0.5000 0.0000  2 Zn 2.28

Properties
Density of states at the Fermi level (states/eV/atom): 1.436
Crystal system: cubic
Space group: Pm-3m (221)
Magnetic moment (μB per formula unit): 0.000

Version two
A geometry-optimized TiZnMo3 structure. Source: Alexandria via LeMat-Bulk, functional PBE.

a b c (Å): 4.5614 4.5614 4.5614
angles (deg): 90.00 90.00 90.00
With the nearest neighbours (Å) after each atom.
Element x y z (fractional)
Ti: 0.0000 0.0000 0.0000  6 Mo 2.28
Zn: 0.5000 0.5000 0.5000  12 Mo 3.23
Mo: 0.0000 0.0000 0.5000  2 Ti 2.28
Mo: 0.0000 0.5000 0.0000  2 Ti 2.28
Mo: 0.5000 0.0000 0.0000  2 Ti 2.28

Properties
Density of states at the Fermi level (states/eV/atom): 0.759
Crystal system: cubic
Space group: Pm-3m (221)
Magnetic moment (μB per formula unit): 0.000

Most stable to least stable, the ends of the list are version two and version one.

Version one
A geometry-optimized Ti2Zn2Mo structure. Source: Alexandria via LeMat-Bulk, functional PBE.

a b c (Å): 7.8245 7.8245 7.8245
angles (deg): 156.12 156.02 34.10
With the nearest neighbours (Å) after each atom.
Element x y z (fractional)
Ti: 0.0945 0.0945 0.0000  4 Mo 2.70, 4 Zn 2.81, 1 Ti 2.83
Ti: 0.9055 0.9055 0.0000  4 Mo 2.70, 4 Zn 2.81, 1 Ti 2.83
Zn: 0.2966 0.2966 0.0000  4 Zn 2.69, 4 Ti 2.81
Zn: 0.7034 0.7034 0.0000  4 Zn 2.69, 4 Ti 2.81
Mo: 0.5000 0.5000 0.0000  8 Ti 2.70

Properties
Density of states at the Fermi level (states/eV/atom): 0.577
Crystal system: orthorhombic
Space group: Immm (71)
Magnetic moment (μB per formula unit): 0.000

Version two
A geometry-optimized Ti2Zn2Mo structure. Source: Alexandria via LeMat-Bulk, functional PBE.

a b c (Å): 7.1283 7.1283 3.0631
angles (deg): 90.00 90.00 90.00
With the nearest neighbours (Å) after each atom.
Element x y z (fractional)
Ti: 0.1801 0.3199 0.0000  6 Zn 2.52-2.67
Ti: 0.3199 0.8199 0.0000  6 Zn 2.52-2.67
Ti: 0.6801 0.1801 0.0000  6 Zn 2.52-2.67
Ti: 0.8199 0.6801 0.0000  6 Zn 2.52-2.67
Zn: 0.1214 0.6214 0.5000  1 Zn 2.45, 6 Ti 2.52-2.67
Zn: 0.3786 0.1214 0.5000  1 Zn 2.45, 6 Ti 2.52-2.67
Zn: 0.6214 0.8786 0.5000  1 Zn 2.45, 6 Ti 2.52-2.67
Zn: 0.8786 0.3786 0.5000  1 Zn 2.45, 6 Ti 2.52-2.67
Mo: 0.0000 0.0000 0.5000  4 Zn 2.83, 8 Ti 3.03, 2 Mo 3.06
Mo: 0.5000 0.5000 0.5000  4 Zn 2.83, 8 Ti 3.03, 2 Mo 3.06

Properties
Density of states at the Fermi level (states/eV/atom): 1.207
Crystal system: tetragonal
Space group: P4/mbm (127)
Magnetic moment (μB per formula unit): 0.000

Most stable to least stable, the ends of the list are version one and version two.

Version one
A geometry-optimized ZrTi2Mo structure. Source: Alexandria via LeMat-Bulk, functional PBE.

a b c (Å): 3.2364 3.2364 6.9001
angles (deg): 90.00 90.00 90.00
With the nearest neighbours (Å) after each atom.
Element x y z (fractional)
Zr: 0.0000 0.0000 0.0000  8 Ti 3.04, 4 Zr 3.24
Ti: 0.5000 0.5000 0.2900  4 Mo 2.71, 1 Ti 2.90
Ti: 0.5000 0.5000 0.7100  4 Mo 2.71, 1 Ti 2.90
Mo: 0.0000 0.0000 0.5000  8 Ti 2.71

Properties
Density of states at the Fermi level (states/eV/atom): 1.733
Crystal system: tetragonal
Space group: P4/mmm (123)
Magnetic moment (μB per formula unit): 0.000

Version two
A geometry-optimized ZrTi2Mo structure. Source: Alexandria via LeMat-Bulk, functional PBE.

a b c (Å): 4.6296 4.6296 3.2875
angles (deg): 90.00 90.00 90.00
With the nearest neighbours (Å) after each atom.
Element x y z (fractional)
Zr: 0.0000 0.0000 0.0000  8 Ti 2.84
Ti: 0.0000 0.5000 0.5000  4 Zr 2.84, 4 Mo 2.84
Ti: 0.5000 0.0000 0.5000  4 Zr 2.84, 4 Mo 2.84
Mo: 0.5000 0.5000 0.0000  8 Ti 2.84

Properties
Density of states at the Fermi level (states/eV/atom): 1.848
Crystal system: tetragonal
Space group: P4/mmm (123)
Magnetic moment (μB per formula unit): 0.000

Most stable to least stable, the ends of the list are version one and version two.

Version one
A geometry-optimized ZrTi2Mo structure. Source: Alexandria via LeMat-Bulk, functional PBE.

a b c (Å): 4.6372 4.6372 4.6372
angles (deg): 60.00 60.00 60.00
With the nearest neighbours (Å) after each atom.
Element x y z (fractional)
Zr: 0.0000 0.0000 0.0000  8 Ti 2.84
Ti: 0.2500 0.2500 0.2500  4 Zr 2.84, 4 Mo 2.84
Ti: 0.7500 0.7500 0.7500  4 Zr 2.84, 4 Mo 2.84
Mo: 0.5000 0.5000 0.5000  8 Ti 2.84

Properties
Density of states at the Fermi level (states/eV/atom): 2.138
Crystal system: cubic
Space group: Fm-3m (225)
Magnetic moment (μB per formula unit): 0.000

Version two
A geometry-optimized ZrTi2Mo structure. Source: Alexandria via LeMat-Bulk, functional PBE.

a b c (Å): 5.8590 5.8590 5.8590
angles (deg): 103.80 103.80 121.52
With the nearest neighbours (Å) after each atom.
Element x y z (fractional)
Zr: 0.0000 0.0000 0.0000  4 Ti 2.79, 2 Mo 2.86
Zr: 0.7500 0.2500 0.5000  4 Ti 2.79, 2 Mo 2.86
Ti: 0.1526 0.6250 0.0276  2 Mo 2.52, 2 Zr 2.79
Ti: 0.3750 0.4026 0.5276  2 Mo 2.52, 2 Zr 2.79
Ti: 0.5974 0.1250 0.9724  2 Mo 2.52, 2 Zr 2.79
Ti: 0.8750 0.8474 0.4724  2 Mo 2.52, 2 Zr 2.79
Mo: 0.2500 0.7500 0.5000  4 Ti 2.52
Mo: 0.5000 0.5000 0.0000  4 Ti 2.52

Properties
Density of states at the Fermi level (states/eV/atom): 1.023
Crystal system: tetragonal
Space group: I-42d (122)
Magnetic moment (μB per formula unit): 0.000

Most stable to least stable, the ends of the list are version one and version two.

Version one
A geometry-optimized ZrTi3Mo structure. Source: Alexandria via LeMat-Bulk, functional PBE.

a b c (Å): 6.8174 6.8174 5.2031
angles (deg): 90.00 90.00 129.56
With the nearest neighbours (Å) after each atom.
Element x y z (fractional)
Zr: 0.0864 0.9136 0.7500  8 Ti 3.09-3.26, 4 Mo 3.36, 2 Zr 3.36
Zr: 0.9136 0.0864 0.2500  8 Ti 3.09-3.26, 4 Mo 3.36, 2 Zr 3.36
Ti: 0.1036 0.4021 0.7500  1 Ti 2.53, 2 Mo 2.67
Ti: 0.3163 0.6837 0.2500  2 Ti 2.53, 2 Mo 2.61
Ti: 0.4021 0.1036 0.2500  1 Ti 2.53, 2 Mo 2.67
Ti: 0.5979 0.8964 0.7500  1 Ti 2.53, 2 Mo 2.67
Ti: 0.6837 0.3163 0.7500  2 Ti 2.53, 2 Mo 2.61
Ti: 0.8964 0.5979 0.2500  1 Ti 2.53, 2 Mo 2.67
Mo: 0.5000 0.5000 0.0000  2 Mo 2.60, 6 Ti 2.61-2.67
Mo: 0.5000 0.5000 0.5000  2 Mo 2.60, 6 Ti 2.61-2.67

Properties
Density of states at the Fermi level (states/eV/atom): 1.529
Crystal system: orthorhombic
Space group: Cmcm (63)
Magnetic moment (μB per formula unit): 0.000

Version two
A geometry-optimized ZrTi3Mo structure. Source: Alexandria via LeMat-Bulk, functional PBE.

a b c (Å): 4.7157 4.7157 4.7157
angles (deg): 90.00 90.00 90.00
With the nearest neighbours (Å) after each atom.
Element x y z (fractional)
Zr: 0.0000 0.0000 0.0000  12 Ti 3.33
Ti: 0.0000 0.5000 0.5000  2 Mo 2.36
Ti: 0.5000 0.0000 0.5000  2 Mo 2.36
Ti: 0.5000 0.5000 0.0000  2 Mo 2.36
Mo: 0.5000 0.5000 0.5000  6 Ti 2.36

Properties
Density of states at the Fermi level (states/eV/atom): 1.867
Crystal system: cubic
Space group: Pm-3m (221)
Magnetic moment (μB per formula unit): 0.000

Most stable to least stable, the ends of the list are version one and version two.